Compound: Al13Si5H18ClO38
Source: the Alexandria database
Functional: GGA-PBE
Structure: relaxed

DOS(E_F) (states/eV per atom): 0.000
Raw total energy (eV for the cell shown): -494.769

Structure (POSCAR):
```
Al13Si5H18ClO38
1.0
0.0000 7.0359 7.0359
7.0359 0.0000 7.0359
7.0359 7.0359 0.0000
Al Si H Cl O
13 5 18 1 38
Cartesian
0.0000 0.0000 0.0000
11.7651 9.3426 7.2566
11.7651 7.2566 9.3426
13.8511 9.3426 9.3426
9.3426 11.7651 7.2566
9.3426 7.2566 11.7651
13.8511 11.7651 11.7651
7.2566 11.7651 9.3426
9.3426 13.8511 9.3426
7.2566 9.3426 11.7651
11.7651 13.8511 11.7651
9.3426 9.3426 13.8511
11.7651 11.7651 13.8511
8.9604 5.1114 5.1114
7.0359 7.0359 7.0359
5.1114 8.9604 5.1114
5.1114 5.1114 8.9604
8.9604 8.9604 8.9604
3.5180 3.5180 1.3834
3.5180 1.3834 3.5180
5.6525 3.5180 3.5180
6.2493 6.2493 3.8046
7.8225 7.8225 3.8046
6.2493 3.8046 6.2493
10.2672 7.8225 6.2493
7.8225 3.8046 7.8225
10.2672 6.2493 7.8225
1.3834 3.5180 3.5180
3.5180 5.6525 3.5180
3.5180 3.5180 5.6525
3.8046 6.2493 6.2493
7.8225 10.2672 6.2493
7.8225 6.2493 10.2672
3.8046 7.8225 7.8225
6.2493 10.2672 7.8225
6.2493 7.8225 10.2672
3.5180 3.5180 3.5180
3.5180 3.5180 0.3928
3.5180 0.3928 3.5180
6.6431 3.5180 3.5180
8.6037 5.4681 3.5445
8.6037 3.5445 5.4681
10.5274 5.4681 5.4681
6.0200 6.0200 2.8906
8.0518 8.0518 2.8906
6.0200 2.8906 6.0200
11.1813 8.0518 6.0200
8.0518 2.8906 8.0518
11.1813 6.0200 8.0518
13.0208 8.0869 8.0869
7.9837 6.0881 6.0881
0.3928 3.5180 3.5180
3.5180 6.6431 3.5180
3.5180 3.5180 6.6431
5.4681 8.6037 3.5445
5.4681 3.5445 8.6037
10.5274 8.6037 8.6037
6.0881 7.9837 6.0881
6.0881 6.0881 7.9837
7.9837 7.9837 7.9837
2.8906 6.0200 6.0200
8.0518 11.1813 6.0200
8.0518 6.0200 11.1813
3.5445 8.6037 5.4681
5.4681 10.5274 5.4681
3.5445 5.4681 8.6037
8.6037 10.5274 8.6037
5.4681 5.4681 10.5274
8.6037 8.6037 10.5274
8.0869 13.0208 8.0869
8.0869 8.0869 13.0208
13.0208 13.0208 13.0208
2.8906 8.0518 8.0518
6.0200 11.1813 8.0518
6.0200 8.0518 11.1813
```